# ZnIn2Ru (PBE, optimized geometry)
data_ZnIn2Ru
_chemical_formula_sum 'Zn1 In2 Ru1'
_space_group_name_H-M_alt 'P 4/m m m'
_space_group_IT_number 123
_space_group_name_Hall '-P 4 2'
_cell_length_a 4.7070
_cell_length_b 4.7070
_cell_length_c 3.2364
_cell_angle_alpha 90.00
_cell_angle_beta 90.00
_cell_angle_gamma 90.00
loop_
_atom_site_label
_atom_site_type_symbol
_atom_site_fract_x
_atom_site_fract_y
_atom_site_fract_z
Zn1 Zn 0.0000 0.0000 0.0000
In1 In 0.0000 0.5000 0.5000
Ru1 Ru 0.5000 0.5000 0.0000
# Energy of formation from the pure elements ... 0.146 eV/atom
# Mass density ... 9.2 g/cm3